Computed, not measured: a relaxed FeSiF3 crystal at the PBE+U level of DFT.

It has space group Pm-3m (No. 221), with a = 4.201 Å, b = 4.201 Å, c = 4.201 Å, α = 90.00°, β = 90.00° and γ = 90.00°. The asymmetric unit holds Fe at (0.000, 0.000, 0.000), Si at (0.500, 0.500, 0.500) and F at (0.000, 0.500, 0.500).

As for the total magnetic moment: 3.07 μB/cell. Its energy relative to the lowest polymorph listed for this composition is 0 meV per atom. The value obtained for the energy is -4.4950 eV per atom.